No. 1
PBE-GGA PrInSnCl6, optimized geometry; symmetry = P4_2nm (102); total moment = 0.00 μB per formula unit; total DFT energy (no corrections) = -4.024 eV per atom; formation energy without anion corrections = -13.6 eV/f.u.
1.0
6.908 0.000 0.000
0.000 6.908 0.000
0.000 0.000 13.216
Pr In Sn Cl
2 2 2 12
Cartesian
0.000 0.000 0.000
3.454 3.454 6.608
0.000 0.000 8.814
3.454 3.454 2.206
0.000 0.000 4.417
3.454 3.454 11.025
1.233 1.233 2.193
1.416 1.416 11.280
1.496 1.496 6.430
1.958 4.950 13.038
2.039 4.870 4.672
2.221 4.687 8.801
4.687 2.221 8.801
4.870 2.039 4.672
4.950 1.958 13.038
5.412 5.412 6.430
5.493 5.493 11.280
5.675 5.675 2.193

***

No. 2
PBE-GGA LiErIn2Pd4, optimized geometry; symmetry = R-3m (166); total moment = 0.00 μB per formula unit; total DFT energy (no corrections) = -4.788 eV per atom; energy of formation = -698 meV per atom
1.0
2.323 1.341 7.609
-2.323 1.341 7.609
0.000 -2.683 7.609
Li Er In Pd
1 1 2 4
Cartesian
0.000 0.000 0.000
0.000 0.000 11.413
0.000 0.000 5.803
0.000 0.000 17.024
0.000 0.000 2.695
0.000 0.000 8.576
0.000 0.000 14.250
0.000 0.000 20.132

***

No. 3
PBE-GGA Dy2Y2Er3, optimized geometry; symmetry = I2_13 (199); ΔE to the lowest computed polymorph = 36.8 meV/atom; total moment = 0.00 μB per formula unit; total DFT energy (no corrections) = -4.872 eV per atom; energy of formation = 245 meV per atom
1.0
-4.824 4.824 4.824
4.824 -4.824 4.824
4.824 4.824 -4.824
Dy Y Er
4 4 6
Cartesian
4.404 0.420 -0.420
0.420 0.420 0.420
0.420 -0.420 4.404
-0.420 4.404 0.420
6.319 -1.495 1.495
1.495 6.319 -1.495
3.328 3.328 3.328
-1.495 1.495 6.319
7.235 1.838 0.000
2.986 0.000 2.412
2.412 2.986 0.000
0.000 2.412 2.986
1.838 0.000 7.235
0.000 7.235 1.838

***

No. 4
PBE-GGA Ca3VH, optimized geometry; symmetry = Pm-3m (221); ΔE to the lowest computed polymorph = 0.0 meV/atom; total moment = 4.19 μB per formula unit; total DFT energy (no corrections) = -3.474 eV per atom
1.0
5.004 0.000 0.000
0.000 5.004 0.000
0.000 0.000 5.004
Ca V H
3 1 1
Cartesian
0.000 0.000 2.502
0.000 2.502 0.000
2.502 0.000 0.000
2.502 2.502 2.502
0.000 0.000 0.000

***

No. 5
PBE-GGA MgPdSe, optimized geometry; symmetry = P6_3/mmc (194); total moment = 0.00 μB per formula unit; total DFT energy (no corrections) = -3.934 eV per atom; formation energy without anion corrections = -1.5 eV/f.u.
1.0
4.343 0.000 0.000
-2.172 3.761 0.000
0.000 0.000 6.967
Mg Pd Se
2 2 2
Cartesian
0.000 0.000 0.000
0.000 0.000 3.483
0.000 2.507 1.742
2.172 1.254 5.225
0.000 2.507 5.225
2.172 1.254 1.742

***

No. 6
PBE-GGA BaAs2Br8, optimized geometry; symmetry = C2/m (12); total moment = 0.00 μB per formula unit; total DFT energy (no corrections) = -3.061 eV per atom; formation energy without anion corrections = -9.1 eV/f.u.
1.0
6.779 -4.916 0.000
6.779 4.916 0.000
-2.787 0.000 7.655
Ba As Br
1 2 8
Cartesian
0.000 0.000 0.000
0.541 0.000 4.947
10.230 0.000 2.708
4.733 2.955 1.692
1.901 0.000 2.606
6.038 2.955 5.963
2.465 0.000 6.328
8.305 0.000 1.327
4.733 -2.955 1.692
8.870 0.000 5.048
6.038 -2.955 5.963

***

No. 7
PBE-GGA LiZnCdPt, optimized geometry; symmetry = Cm (8); total moment = 0.00 μB per formula unit; total DFT energy (no corrections) = -2.899 eV per atom; energy of formation = -363 meV per atom
1.0
9.158 0.000 0.000
0.000 2.889 0.000
-0.843 0.000 4.865
Li Zn Cd Pt
2 2 2 2
Cartesian
0.000 0.000 0.000
4.579 1.445 0.000
1.622 0.000 3.572
6.201 1.445 3.572
2.159 1.445 1.179
6.739 0.000 1.179
-0.387 1.445 2.604
4.192 0.000 2.604

***

No. 8
PBE-GGA OsAu2Cl, optimized geometry; symmetry = P2/m (10); ΔE to the lowest computed polymorph = 110.4 meV/atom; total moment = 1.22 μB per formula unit; total DFT energy (no corrections) = -4.300 eV per atom; formation energy without anion corrections = 2.4 eV/f.u.
1.0
2.978 0.000 0.000
0.000 3.030 0.000
-0.015 0.000 8.109
Os Au Cl
1 2 1
Cartesian
0.000 0.000 0.000
1.473 1.515 6.275
1.490 1.515 1.835
1.482 0.000 4.055